Entry 1:
DFT (PBE) results for GdTmTe6 after structural relaxation.

Lattice parameters (Å, degrees): 4.332 13.302 13.302 18.74 90.00 90.00
Sites, in units of the cell vectors:
1 Gd 0.000 0.000 0.000
2 Tm 0.500 0.343 0.343
3 Te 0.000 0.248 0.248
4 Te 0.000 0.596 0.596
5 Te 0.000 0.877 0.877
6 Te 0.500 0.096 0.096
7 Te 0.500 0.463 0.463
8 Te 0.500 0.748 0.748

Summary:
ρ ... 7.36 g cm⁻³
Volume ... 246.23 Å³/f.u.
Total magnetization ... 0.02 Bohr magnetons per cell
Raw total energy ... -4.402 eV per atom
Symmetry ... No. 38

Entry 2:
DFT (PBE) results for LuNiAgSb after structural relaxation.

Lattice parameters (Å, degrees): 4.782 4.782 4.782 60.00 60.00 60.00
Sites, in units of the cell vectors:
1 Lu 0.000 0.000 0.000
2 Ni 0.500 0.500 0.500
3 Ag 0.750 0.750 0.750
4 Sb 0.250 0.250 0.250

Summary:
ρ ... 9.95 g cm⁻³
Volume ... 77.34 Å³/f.u.
Total magnetization ... 0.01 Bohr magnetons per cell
Raw total energy ... -4.469 eV per atom
Symmetry ... No. 216

Entry 3:
DFT (PBE) results for Mg2Os after structural relaxation.

Lattice parameters (Å, degrees): 8.019 8.019 4.599 90.00 90.00 159.18
Sites, in units of the cell vectors:
1 Mg 0.103 0.897 0.750
2 Mg 0.203 0.797 0.250
3 Mg 0.797 0.203 0.750
4 Mg 0.897 0.103 0.250
5 Os 0.459 0.541 0.750
6 Os 0.541 0.459 0.250

Summary:
ρ ... 7.55 g cm⁻³
Volume ... 52.55 Å³/f.u.
Total magnetization ... 0.00 Bohr magnetons per cell
Raw total energy ... -4.540 eV per atom
Symmetry ... No. 63

Entry 4:
DFT (PBE) results for CsU2Se6 after structural relaxation.

Lattice parameters (Å, degrees): 12.203 12.203 12.203 160.93 153.66 32.72
Sites, in units of the cell vectors:
1 Cs 0.000 0.000 0.000
2 U 0.315 0.815 0.500
3 U 0.685 0.185 0.500
4 Se 0.133 0.382 0.751
5 Se 0.228 0.228 0.000
6 Se 0.369 0.618 0.751
7 Se 0.631 0.382 0.249
8 Se 0.772 0.772 0.000
9 Se 0.867 0.618 0.249

Summary:
ρ ... 6.83 g cm⁻³
Volume ... 263.26 Å³/f.u.
Total magnetization ... 3.70 Bohr magnetons per cell
Raw total energy ... -6.012 eV per atom
Symmetry ... No. 71

Entry 5:
DFT (PBE) results for PmTmNO after structural relaxation.

Lattice parameters (Å, degrees): 4.700 4.700 5.827 90.00 90.00 90.00
Sites, in units of the cell vectors:
1 Pm 0.250 0.750 0.000
2 Pm 0.750 0.250 0.000
3 Tm 0.250 0.250 0.468
4 Tm 0.750 0.750 0.532
5 N 0.250 0.250 0.106
6 N 0.750 0.750 0.894
7 O 0.250 0.750 0.500
8 O 0.750 0.250 0.500

Summary:
Distance to the lowest polymorph of the same formula ... 107 meV/atom
ρ ... 8.87 g cm⁻³
Volume ... 64.36 Å³/f.u.
Total magnetization ... 0.01 Bohr magnetons per cell
Symmetry ... No. 129

Entry 6:
DFT (PBE) results for DyHgTeO after structural relaxation.

Lattice parameters (Å, degrees): 4.116 4.116 10.571 90.00 90.00 90.00
Sites, in units of the cell vectors:
1 Dy 0.250 0.250 0.095
2 Dy 0.750 0.750 0.905
3 Hg 0.250 0.750 0.500
4 Hg 0.750 0.250 0.500
5 Te 0.250 0.250 0.739
6 Te 0.750 0.750 0.261
7 O 0.250 0.750 0.000
8 O 0.750 0.250 0.000

Summary:
Distance to the lowest polymorph of the same formula ... 0 meV/atom
ρ ... 9.39 g cm⁻³
Volume ... 89.56 Å³/f.u.
Total magnetization ... 0.01 Bohr magnetons per cell
Symmetry ... No. 129

Entry 7:
DFT (PBE) results for LaNd2Ga2Ni4 after structural relaxation.

Lattice parameters (Å, degrees): 5.494 5.494 8.293 98.27 98.27 44.69
Sites, in units of the cell vectors:
1 La 0.000 0.000 0.000
2 Nd 0.376 0.376 0.621
3 Nd 0.624 0.624 0.379
4 Ga 0.322 0.322 0.216
5 Ga 0.678 0.678 0.784
6 Ni 0.083 0.083 0.636
7 Ni 0.262 0.262 0.915
8 Ni 0.738 0.738 0.085
9 Ni 0.917 0.917 0.364

Summary:
ρ ... 7.65 g cm⁻³
Volume ... 173.93 Å³/f.u.
Total magnetization ... 0.00 Bohr magnetons per cell
Raw total energy ... -5.264 eV per atom
Symmetry ... No. 12

Entry 8:
DFT (PBE) results for PrNbN2O after structural relaxation.

Lattice parameters (Å, degrees): 5.754 3.954 5.903 90.00 90.00 90.00
Sites, in units of the cell vectors:
1 Pr 0.250 0.000 0.210
2 Pr 0.750 0.000 0.790
3 Nb 0.250 0.500 0.726
4 Nb 0.750 0.500 0.274
5 N 0.000 0.500 0.500
6 N 0.250 0.000 0.800
7 N 0.500 0.500 0.500
8 N 0.750 0.000 0.200
9 O 0.000 0.500 0.000
10 O 0.500 0.500 0.000

Summary:
ρ ... 6.87 g cm⁻³
Volume ... 67.15 Å³/f.u.
Total magnetization ... 0.00 Bohr magnetons per cell
Raw total energy ... -8.928 eV per atom
Symmetry ... No. 51

Entry 9:
DFT (PBE) results for Y4Hf2Pb3C3 after structural relaxation.

Lattice parameters (Å, degrees): 6.148 6.148 15.929 101.34 101.34 60.13
Sites, in units of the cell vectors:
1 Y 0.036 0.190 0.088
2 Y 0.130 0.304 0.412
3 Y 0.190 0.036 0.588
4 Y 0.304 0.130 0.912
5 Y 0.696 0.870 0.088
6 Y 0.810 0.964 0.412
7 Y 0.870 0.696 0.588
8 Y 0.964 0.810 0.912
9 Hf 0.352 0.525 0.074
10 Hf 0.475 0.648 0.426
11 Hf 0.525 0.352 0.574
12 Hf 0.648 0.475 0.926
13 Pb 0.110 0.890 0.250
14 Pb 0.275 0.418 0.752
15 Pb 0.418 0.275 0.252
16 Pb 0.582 0.725 0.748
17 Pb 0.725 0.582 0.248
18 Pb 0.890 0.110 0.750
19 C 0.000 0.500 0.000
20 C 0.198 0.651 0.500
21 C 0.349 0.802 0.000
22 C 0.500 0.000 0.500
23 C 0.651 0.198 0.000
24 C 0.802 0.349 0.500

Summary:
ρ ... 8.95 g cm⁻³
Volume ... 254.26 Å³/f.u.
Total magnetization ... 0.02 Bohr magnetons per cell
Raw total energy ... -7.619 eV per atom
Symmetry ... No. 15

Entry 10:
DFT (PBE) results for BeGaOs2 after structural relaxation.

Lattice parameters (Å, degrees): 4.227 4.227 4.227 60.00 60.00 60.00
Sites, in units of the cell vectors:
1 Be 0.000 0.000 0.000
2 Ga 0.750 0.750 0.750
3 Os 0.250 0.250 0.250
4 Os 0.500 0.500 0.500

Summary:
ρ ... 14.28 g cm⁻³
Volume ... 53.41 Å³/f.u.
Total magnetization ... 0.02 Bohr magnetons per cell
Raw total energy ... -6.998 eV per atom
Symmetry ... No. 216

Entry 11:
DFT (PBE) results for Ho2Ga6Fe11 after structural relaxation.

Lattice parameters (Å, degrees): 6.499 6.499 6.499 83.71 83.71 83.71
Sites, in units of the cell vectors:
1 Ho 0.151 0.151 0.151
2 Ho 0.849 0.849 0.849
3 Ga 0.193 0.500 0.807
4 Ga 0.193 0.807 0.500
5 Ga 0.500 0.193 0.807
6 Ga 0.500 0.807 0.193
7 Ga 0.807 0.193 0.500
8 Ga 0.807 0.500 0.193
9 Fe 0.000 0.500 0.500
10 Fe 0.159 0.159 0.657
11 Fe 0.159 0.657 0.159
12 Fe 0.343 0.841 0.841
13 Fe 0.396 0.396 0.396
14 Fe 0.500 0.000 0.500
15 Fe 0.500 0.500 0.000
16 Fe 0.604 0.604 0.604
17 Fe 0.657 0.159 0.159
18 Fe 0.841 0.343 0.841
19 Fe 0.841 0.841 0.343

Summary:
ρ ... 8.39 g cm⁻³
Volume ... 269.82 Å³/f.u.
Total magnetization ... 22.90 Bohr magnetons per cell
Raw total energy ... -6.478 eV per atom
Symmetry ... No. 166

Entry 12:
DFT (PBE) results for RbLuNiS3 after structural relaxation.

Lattice parameters (Å, degrees): 7.624 7.624 10.184 90.00 90.00 150.61
Sites, in units of the cell vectors:
1 Rb 0.244 0.756 0.750
2 Rb 0.756 0.244 0.250
3 Lu 0.500 0.500 0.000
4 Lu 0.500 0.500 0.500
5 Ni 0.032 0.968 0.250
6 Ni 0.968 0.032 0.750
7 S 0.117 0.883 0.065
8 S 0.117 0.883 0.435
9 S 0.449 0.551 0.250
10 S 0.551 0.449 0.750
11 S 0.883 0.117 0.565
12 S 0.883 0.117 0.935

Summary:
Distance to the lowest polymorph of the same formula ... 21 meV/atom
ρ ... 4.75 g cm⁻³
Volume ... 145.26 Å³/f.u.
Total magnetization ... 3.73 Bohr magnetons per cell
Symmetry ... No. 63

Entry 13:
DFT (PBE) results for Ba2CdTe after structural relaxation.

Lattice parameters (Å, degrees): 5.931 5.931 5.931 60.00 60.00 60.00
Sites, in units of the cell vectors:
1 Ba 0.000 0.000 0.000
2 Ba 0.250 0.250 0.250
3 Cd 0.750 0.750 0.750
4 Te 0.500 0.500 0.500

Summary:
ρ ... 5.79 g cm⁻³
Volume ... 147.50 Å³/f.u.
Raw total energy ... -2.376 eV per atom
Symmetry ... No. 216

Entry 14:
DFT (PBE) results for CsThAl after structural relaxation.

Lattice parameters (Å, degrees): 5.238 5.238 5.238 60.00 60.00 60.00
Sites, in units of the cell vectors:
1 Cs 0.000 0.000 0.000
2 Th 0.750 0.750 0.750
3 Al 0.250 0.250 0.250

Summary:
Distance to the lowest polymorph of the same formula ... 379 meV/atom
ρ ... 6.40 g cm⁻³
Volume ... 101.63 Å³/f.u.
Total magnetization ... 0.00 Bohr magnetons per cell
Symmetry ... No. 216

Entry 15:
DFT (PBE) results for TaTl2AgS4 after structural relaxation.

Lattice parameters (Å, degrees): 8.079 10.599 12.944 90.00 127.77 90.00
Sites, in units of the cell vectors:
1 Ta 0.075 0.225 0.453
2 Ta 0.075 0.275 0.953
3 Ta 0.925 0.725 0.047
4 Ta 0.925 0.775 0.547
5 Tl 0.338 0.006 0.225
6 Tl 0.338 0.494 0.725
7 Tl 0.396 0.729 0.502
8 Tl 0.396 0.771 0.002
9 Tl 0.604 0.229 0.998
10 Tl 0.604 0.271 0.498
11 Tl 0.662 0.506 0.275
12 Tl 0.662 0.994 0.775
13 Ag 0.089 0.012 0.713
14 Ag 0.089 0.488 0.213
15 Ag 0.911 0.512 0.787
16 Ag 0.911 0.988 0.287
17 S 0.119 0.235 0.645
18 S 0.119 0.265 0.145
19 S 0.186 0.081 0.936
20 S 0.186 0.419 0.436
21 S 0.274 0.689 0.216
22 S 0.274 0.811 0.716
23 S 0.286 0.071 0.466
24 S 0.286 0.429 0.966
25 S 0.714 0.571 0.034
26 S 0.714 0.929 0.534
27 S 0.726 0.189 0.284
28 S 0.726 0.311 0.784
29 S 0.814 0.581 0.564
30 S 0.814 0.919 0.064
31 S 0.881 0.735 0.855
32 S 0.881 0.765 0.355

Summary:
ρ ... 6.26 g cm⁻³
Volume ... 219.06 Å³/f.u.
Total magnetization ... 0.03 Bohr magnetons per cell
Raw total energy ... -5.114 eV per atom
Symmetry ... No. 14

Entry 16:
DFT (PBE) results for HoLu2Fe6Co3 after structural relaxation.

Lattice parameters (Å, degrees): 8.557 8.557 8.557 33.99 33.99 33.99
Sites, in units of the cell vectors:
1 Ho 0.000 0.000 0.000
2 Lu 0.142 0.142 0.142
3 Lu 0.858 0.858 0.858
4 Fe 0.081 0.583 0.583
5 Fe 0.417 0.417 0.919
6 Fe 0.417 0.919 0.417
7 Fe 0.583 0.081 0.583
8 Fe 0.583 0.583 0.081
9 Fe 0.919 0.417 0.417
10 Co 0.333 0.333 0.333
11 Co 0.500 0.500 0.500
12 Co 0.667 0.667 0.667

Summary:
ρ ... 9.77 g cm⁻³
Volume ... 174.53 Å³/f.u.
Total magnetization ... 16.35 Bohr magnetons per cell
Energy of formation from the pure elements ... -0.17 eV/atom
Symmetry ... No. 166

Entry 17:
DFT (PBE) results for PmSnPt after structural relaxation.

Lattice parameters (Å, degrees): 4.685 4.685 3.725 90.00 90.00 120.00
Sites, in units of the cell vectors:
1 Pm 0.000 0.000 0.000
2 Sn 0.333 0.667 0.500
3 Pt 0.667 0.333 0.500

Summary:
Distance to the lowest polymorph of the same formula ... 0 meV/atom
ρ ... 10.76 g cm⁻³
Volume ... 70.82 Å³/f.u.
Total magnetization ... 0.00 Bohr magnetons per cell
Symmetry ... No. 187

Entry 18:
DFT (PBE) results for Bi3MoCl after structural relaxation.

Lattice parameters (Å, degrees): 5.391 5.391 5.391 90.00 90.00 90.00
Sites, in units of the cell vectors:
1 Bi 0.000 0.000 0.500
2 Bi 0.000 0.500 0.000
3 Bi 0.500 0.000 0.000
4 Mo 0.500 0.500 0.500
5 Cl 0.000 0.000 0.000

Summary:
ρ ... 8.04 g cm⁻³
Volume ... 156.65 Å³/f.u.
Total magnetization ... 2.94 Bohr magnetons per cell
Raw total energy ... -3.777 eV per atom
Symmetry ... No. 221

Entry 19:
DFT (PBE) results for PmBeCo after structural relaxation.

Lattice parameters (Å, degrees): 4.290 4.290 4.290 60.00 60.00 60.00
Sites, in units of the cell vectors:
1 Pm 0.000 0.000 0.000
2 Be 0.500 0.500 0.500
3 Co 0.750 0.750 0.750

Summary:
Distance to the lowest polymorph of the same formula ... 0 meV/atom
ρ ... 6.33 g cm⁻³
Volume ... 55.82 Å³/f.u.
Total magnetization ... 0.00 Bohr magnetons per cell
Symmetry ... No. 216

Entry 20:
DFT (PBE) results for Al5Co7 after structural relaxation.

Lattice parameters (Å, degrees): 4.766 4.766 15.730 90.00 90.00 120.00
Sites, in units of the cell vectors:
1 Al 0.164 0.328 0.250
2 Al 0.164 0.836 0.250
3 Al 0.328 0.164 0.750
4 Al 0.333 0.667 0.117
5 Al 0.333 0.667 0.383
6 Al 0.667 0.333 0.617
7 Al 0.667 0.333 0.883
8 Al 0.672 0.836 0.250
9 Al 0.836 0.164 0.750
10 Al 0.836 0.672 0.750
11 Co 0.000 0.000 0.081
12 Co 0.000 0.000 0.419
13 Co 0.000 0.000 0.581
14 Co 0.000 0.000 0.919
15 Co 0.000 0.500 0.000
16 Co 0.000 0.500 0.500
17 Co 0.333 0.667 0.660
18 Co 0.333 0.667 0.840
19 Co 0.500 0.000 0.000
20 Co 0.500 0.000 0.500
21 Co 0.500 0.500 0.000
22 Co 0.500 0.500 0.500
23 Co 0.667 0.333 0.160
24 Co 0.667 0.333 0.340

Summary:
Distance to the lowest polymorph of the same formula ... 187 meV/atom
ρ ... 5.88 g cm⁻³
Volume ... 154.73 Å³/f.u.
Total magnetization ... 17.73 Bohr magnetons per cell
Symmetry ... No. 194